Record 1
# Ag2PAu (PBE-GGA, relaxed)
data_Ag2PAu
_chemical_formula_sum 'Ag2 P1 Au1'
_space_group_name_H-M_alt 'P 1'
_space_group_IT_number 1
_cell_length_a 3.014
_cell_length_b 4.304
_cell_length_c 5.619
_cell_angle_alpha 90.00
_cell_angle_beta 105.40
_cell_angle_gamma 90.00
loop_
_space_group_symop_operation_xyz
'x,y,z'
loop_
_atom_site_label
_atom_site_type_symbol
_atom_site_fract_x
_atom_site_fract_y
_atom_site_fract_z
Ag1 Ag 0.000 0.000 0.000
Ag2 Ag 0.365 0.500 0.730
P1 P 0.753 0.000 0.498
Au1 Au 0.630 0.500 0.257
# crystal system: monoclinic
# energy of formation: 66 kJ/mol of formula units
# density: 10.48 g/cm3
# space-group type: Pm (6)

=====

Record 2
# AgP2Au (PBE-GGA, relaxed)
data_AgP2Au
_chemical_formula_sum 'Ag1 P2 Au1'
_space_group_name_H-M_alt 'P 1'
_space_group_IT_number 1
_cell_length_a 5.789
_cell_length_b 5.789
_cell_length_c 5.789
_cell_angle_alpha 137.19
_cell_angle_beta 134.97
_cell_angle_gamma 63.88
loop_
_space_group_symop_operation_xyz
'x,y,z'
loop_
_atom_site_label
_atom_site_type_symbol
_atom_site_fract_x
_atom_site_fract_y
_atom_site_fract_z
Ag1 Ag 0.000 0.000 0.000
P1 P 0.369 0.869 0.500
P2 P 0.631 0.131 0.500
Au1 Au 0.500 0.500 0.000
# crystal system: orthorhombic
# energy of formation: 121 kJ/mol of formula units
# density: 6.62 g/cm3
# space-group type: Immm (71)

=====

Record 3
# AgPAu2 (PBE-GGA, relaxed)
data_AgPAu2
_chemical_formula_sum 'Ag1 P1 Au2'
_space_group_name_H-M_alt 'P 1'
_space_group_IT_number 1
_cell_length_a 5.052
_cell_length_b 5.052
_cell_length_c 5.052
_cell_angle_alpha 131.86
_cell_angle_beta 131.86
_cell_angle_gamma 70.46
loop_
_space_group_symop_operation_xyz
'x,y,z'
loop_
_atom_site_label
_atom_site_type_symbol
_atom_site_fract_x
_atom_site_fract_y
_atom_site_fract_z
Ag1 Ag 0.000 0.000 0.000
P1 P 0.500 0.500 0.000
Au1 Au 0.250 0.750 0.500
Au2 Au 0.750 0.250 0.500
# crystal system: tetragonal
# energy of formation: 101 kJ/mol of formula units
# density: 12.62 g/cm3
# space-group type: I4/mmm (139)